Mn3TeP2Pb3O14 after structural relaxation. Source: the Alexandria database, functional PBEsol.

energy relative to the elements, uncorrected	-1602	meV/atom
SG	P321 (150)
energy	-166.7	eV/cell

a b c (Å): 5.298 8.478 8.478
angles (deg): 120.00 90.00 90.00
Element x y z (fractional)
O1 0.672 0.263 0.791
O2 0.672 0.209 0.472
O3 0.672 0.528 0.737
O4 0.790 0.910 0.784
O5 0.790 0.216 0.126
O6 0.210 0.126 0.216
O7 0.328 0.737 0.528
O8 0.328 0.472 0.209
O9 0.210 0.090 0.874
O10 0.210 0.784 0.910
O11 0.270 0.333 0.667
O12 0.790 0.874 0.090
O13 0.730 0.667 0.333
O14 0.328 0.791 0.263
P1 0.559 0.333 0.667
P2 0.441 0.667 0.333
Mn1 0.500 0.000 0.253
Mn2 0.500 0.747 0.747
Mn3 0.500 0.253 0.000
Pb1 0.000 0.598 0.000
Pb2 0.000 0.402 0.402
Pb3 0.000 0.000 0.598
Te1 0.000 0.000 0.000